[1]
A relaxed structure of Zn2BTe, computed with PBE-GGA.

```
Zn2BTe
1.0
-2.884 2.884 4.985
2.884 -2.884 4.985
2.884 2.884 -4.985
Zn B Te
4 2 2
Cartesian
4.326 0.944 -1.246
0.944 1.442 1.246
-1.442 1.940 3.739
1.940 1.442 6.231
0.000 0.000 0.000
0.000 2.884 2.492
2.884 0.000 2.492
0.000 0.000 4.985
```

total magnetic moment = 0.000 μB/atom

=====

[2]
A relaxed structure of ZnBTe2, computed with PBE-GGA.

```
ZnBTe2
1.0
2.230 1.288 7.046
-2.230 1.288 7.046
0.000 -2.576 7.046
Zn B Te
1 1 2
Cartesian
0.000 0.000 0.000
0.000 0.000 10.569
0.000 0.000 8.520
0.000 0.000 12.618
```

total magnetic moment = 0.000 μB/atom

=====

[3]
A relaxed structure of Zn3BTe, computed with PBE-GGA.

```
Zn3BTe
1.0
5.311 0.000 0.000
0.000 5.311 0.000
0.000 0.000 5.311
Zn B Te
3 1 1
Cartesian
0.000 0.000 2.655
0.000 2.655 0.000
2.655 0.000 0.000
2.655 2.655 2.655
0.000 0.000 0.000
```

total magnetic moment = 0.002 μB/atom

=====

[4]
A relaxed structure of ZnBTe2, computed with PBE-GGA.

```
ZnBTe2
1.0
-2.887 2.887 6.079
2.887 -2.887 6.079
2.887 2.887 -6.079
Zn B Te
2 2 4
Cartesian
0.000 0.000 0.000
0.000 2.887 3.040
2.887 0.000 3.040
0.000 0.000 6.079
1.443 -1.177 4.559
1.710 1.443 1.520
1.443 4.064 -1.520
1.177 1.443 7.599
```

total magnetic moment = 0.000 μB/atom

=====

[5]
A relaxed structure of ZnB3Te, computed with PBE-GGA.

```
ZnB3Te
1.0
4.209 0.000 0.000
0.000 4.209 0.000
0.000 0.000 4.209
Zn B Te
1 3 1
Cartesian
0.000 0.000 0.000
0.000 0.000 2.105
0.000 2.105 0.000
2.105 0.000 0.000
2.105 2.105 2.105
```

total magnetic moment = 0.000 μB/atom

=====

[6]
A relaxed structure of ZnBTe2, computed with PBE-GGA.

```
ZnBTe2
1.0
0.000 3.451 3.451
3.451 0.000 3.451
3.451 3.451 0.000
Zn B Te
1 1 2
Cartesian
0.000 0.000 0.000
3.451 3.451 3.451
1.726 1.726 1.726
5.177 5.177 5.177
```

total magnetic moment = 0.000 μB/atom

=====

[7]
A relaxed structure of ZnBTe2, computed with PBE-GGA.

```
ZnBTe2
1.0
1.702 0.983 9.782
-1.702 0.983 9.782
0.000 -1.965 9.782
Zn B Te
1 1 2
Cartesian
0.000 0.000 0.000
0.000 0.000 14.672
0.000 0.000 3.389
0.000 0.000 25.955
```

total magnetic moment = 0.000 μB/atom

=====

[8]
A relaxed structure of Zn2BTe, computed with PBE-GGA.

```
Zn2BTe
1.0
0.000 3.297 3.297
3.297 0.000 3.297
3.297 3.297 0.000
Zn B Te
2 1 1
Cartesian
1.648 1.648 1.648
4.945 4.945 4.945
0.000 0.000 0.000
3.297 3.297 3.297
```

total magnetic moment = 0.000 μB/atom

=====

Number 1: VASP energy -2.520 eV per atom, E_form (uncorrected) 572 meV per atom. Number 2: VASP energy -3.050 eV per atom, E_form (uncorrected) 508 meV per atom. Number 3: VASP energy -1.229 eV per atom, E_form (uncorrected) 1499 meV per atom. Number 4: VASP energy -3.204 eV per atom, E_form (uncorrected) 355 meV per atom. Number 5: VASP energy -3.089 eV per atom, E_form (uncorrected) 1800 meV per atom. Number 6: VASP energy -2.556 eV per atom, E_form (uncorrected) 1003 meV per atom. Number 7: VASP energy -2.871 eV per atom, E_form (uncorrected) 687 meV per atom. Number 8: VASP energy -2.062 eV per atom, E_form (uncorrected) 1030 meV per atom.